DFT (PBE-GGA) results for crystalline LaPr3Co8P8 at its relaxed geometry.

a = 3.7938 Å, b = 3.7938 Å, c = 21.8102 Å
α = 90.00°, β = 90.00°, γ = 90.00°
With the nearest neighbours (Å) after each atom.
Positions (direct):
La 0.0000 0.0000 0.0000  8 P 3.14, 8 Co 3.37
Pr 0.5000 0.5000 0.2519  8 P 3.10, 8 Co 3.31
Pr 0.0000 0.0000 0.5000  8 P 3.10, 8 Co 3.30
Pr 0.5000 0.5000 0.7481  8 P 3.10, 8 Co 3.31
Co 0.0000 0.5000 0.1277  4 P 2.22
Co 0.5000 0.0000 0.3760  4 P 2.22
Co 0.0000 0.5000 0.6240  4 P 2.22
Co 0.5000 0.0000 0.8723  4 P 2.22
Co 0.5000 0.0000 0.1277  4 P 2.22
Co 0.0000 0.5000 0.3760  4 P 2.22
Co 0.5000 0.0000 0.6240  4 P 2.22
Co 0.0000 0.5000 0.8723  4 P 2.22
P 0.5000 0.5000 0.0750  4 Co 2.22
P 0.0000 0.0000 0.3233  4 Co 2.22
P 0.5000 0.5000 0.5712  4 Co 2.22
P 0.0000 0.0000 0.8194  4 Co 2.22
P 0.0000 0.0000 0.1806  4 Co 2.22
P 0.5000 0.5000 0.4288  4 Co 2.22
P 0.0000 0.0000 0.6767  4 Co 2.22
P 0.5000 0.5000 0.9250  4 Co 2.22

## Properties
Its total magnetic moment is 0.3 μB per formula unit. For the total energy, the calculation gives -138.82 eV for the cell shown. Its formation energy is -0.97 eV per atom. Its theoretical density is 6.8 g/cm3.